No. 1
## LaPm8Rh2 (GGA-PBE)

Data for LaPm8Rh2 after structural relaxation.

Structure (CIF):
```
data_LaPm8Rh2
_chemical_formula_sum 'La2 Pm16 Rh4'
_symmetry_space_group_name_H-M 'C 1 2/m 1'
_symmetry_Int_Tables_number 12
_cell_length_a 8.8357
_cell_length_b 13.8886
_cell_length_c 5.7291
_cell_angle_alpha 90.00
_cell_angle_beta 101.54
_cell_angle_gamma 90.00
loop_
_symmetry_equiv_pos_as_xyz
'x,y,z'
'-x,-y,-z'
'-x,y,-z'
'x,-y,z'
'x+1/2,y+1/2,z'
'-x+1/2,-y+1/2,-z'
'-x+1/2,y+1/2,-z'
'x+1/2,-y+1/2,z'
loop_
_atom_site_label
_atom_site_type_symbol
_atom_site_fract_x
_atom_site_fract_y
_atom_site_fract_z
La1 La 0.0000 0.0000 0.0000
Pm1 Pm 0.0000 0.2584 0.0000
Pm2 Pm 0.0970 0.5000 0.7973
Pm3 Pm 0.2056 0.1281 0.5713
Rh1 Rh 0.0000 0.2999 0.5000
```

Total magnetic moment = 0.00 μB per atom
Energy of formation = -200 meV/atom
E = -119.675 eV per cell

No. 2
## La2PbI (GGA-PBE)

Data for La2PbI after structural relaxation.

Structure (CIF):
```
data_La2PbI
_chemical_formula_sum 'La6 Pb3 I3'
_symmetry_space_group_name_H-M 'R -3 m'
_symmetry_Int_Tables_number 166
_symmetry_space_group_name_Hall '-R 3 2"'
_cell_length_a 4.7559
_cell_length_b 4.7559
_cell_length_c 22.0843
_cell_angle_alpha 90.00
_cell_angle_beta 90.00
_cell_angle_gamma 120.00
loop_
_atom_site_label
_atom_site_type_symbol
_atom_site_fract_x
_atom_site_fract_y
_atom_site_fract_z
La1 La 0.0000 0.0000 0.2441
Pb1 Pb 0.0000 0.0000 0.5000
I1 I 0.0000 0.0000 0.0000
```

Formation energy (no corrections) = -0.879 eV/atom
Total magnetic moment = 0.00 μB per atom
E = -55.893 eV per cell
Distance to the lowest polymorph of the same formula = 0.000 eV per atom

No. 3
## DyHo2TmAs4 (GGA-PBE)

Data for DyHo2TmAs4 after structural relaxation.

Structure (CIF):
```
data_DyHo2TmAs4
_chemical_formula_sum 'Dy1 Ho2 Tm1 As4'
_symmetry_space_group_name_H-M 'P 1 2/m 1'
_symmetry_Int_Tables_number 10
_cell_length_a 7.0922
_cell_length_b 4.0968
_cell_length_c 7.0923
_cell_angle_alpha 90.00
_cell_angle_beta 109.47
_cell_angle_gamma 90.00
loop_
_symmetry_equiv_pos_as_xyz
'x,y,z'
'-x,-y,-z'
'-x,y,-z'
'x,-y,z'
loop_
_atom_site_label
_atom_site_type_symbol
_atom_site_fract_x
_atom_site_fract_y
_atom_site_fract_z
Dy1 Dy 0.0000 0.0000 0.0000
Ho1 Ho 0.0000 0.5000 0.5000
Ho2 Ho 0.5000 0.0000 0.5000
Tm1 Tm 0.5000 0.5000 0.0000
As1 As 0.2520 0.0000 0.7512
As2 As 0.2516 0.5000 0.2501
```

Total magnetic moment = 0.00 μB per atom
Energy of formation = -1525 meV/atom
E = -49.025 eV per cell

No. 4
## Tl3CdSb (GGA-PBE)

Data for Tl3CdSb after structural relaxation.

Structure (CIF):
```
data_Tl3CdSb
_chemical_formula_sum 'Tl3 Cd1 Sb1'
_symmetry_space_group_name_H-M 'P m -3 m'
_symmetry_Int_Tables_number 221
_symmetry_space_group_name_Hall '-P 4 2 3'
_cell_length_a 5.6225
_cell_length_b 5.6225
_cell_length_c 5.6225
_cell_angle_alpha 90.00
_cell_angle_beta 90.00
_cell_angle_gamma 90.00
loop_
_atom_site_label
_atom_site_type_symbol
_atom_site_fract_x
_atom_site_fract_y
_atom_site_fract_z
Tl1 Tl 0.0000 0.0000 0.5000
Cd1 Cd 0.0000 0.0000 0.0000
Sb1 Sb 0.5000 0.5000 0.5000
```

Formation energy (no corrections) = 0.362 eV/atom
Total magnetic moment = 0.00 μB per atom
E = -10.329 eV per cell
Distance to the lowest polymorph of the same formula = 0.335 eV per atom